Record 1
A relaxed SrTcPt2 crystal, computed with PBE-GGA.

## Properties
Total moment (Bohr magnetons per cell): 0.86
SG: Imm2
E above lowest polymorph (meV/atom): 233.2
Energy of formation (eV per atom): 0.099
Fermi-level density of states (states/eV per cell): 4.21

extended XYZ file:
```
4
Lattice="-4.717 3.384 1.679 -1.708 0.678 5.757 3.953 0.623 -4.529" Properties=species:S:1:pos:R:3 pbc="T T T"
Pt -0.035 0.022 0.041
Pt -2.133 3.111 0.602
Sr -3.233 2.044 3.742
Tc -0.283 1.539 2.241
```


Record 2
A relaxed SrTc2Pt crystal, computed with PBE-GGA.

## Properties
Total moment (Bohr magnetons per cell): 0.00
SG: P2/m
E above lowest polymorph (meV/atom): 429.5
Energy of formation (eV per atom): 0.576
Fermi-level density of states (states/eV per cell): 4.66

extended XYZ file:
```
4
Lattice="-0.118 4.201 -3.002 0.794 -1.635 -2.320 -4.609 -1.076 -1.324" Properties=species:S:1:pos:R:3 pbc="T T T"
Pt -1.013 1.423 -2.412
Sr -2.920 0.067 -4.234
Tc 0.031 -0.154 -0.217
Tc -1.938 -1.201 -1.605
```


Record 3
A relaxed SrTcPt2 crystal, computed with PBE-GGA.

## Properties
Total moment (Bohr magnetons per cell): 0.00
SG: Pmmm
E above lowest polymorph (meV/atom): 0.0
Energy of formation (eV per atom): -0.134
Fermi-level density of states (states/eV per cell): 3.09

extended XYZ file:
```
4
Lattice="-0.300 0.467 -2.827 -1.559 -3.389 -0.394 -6.474 2.844 1.157" Properties=species:S:1:pos:R:3 pbc="T T T"
Pt -6.091 2.676 1.089
Pt -3.620 1.590 0.647
Sr -2.548 -0.750 -1.321
Tc -5.785 0.671 -0.742
```


Record 4
A relaxed SrTc2Pt crystal, computed with PBE-GGA.

## Properties
Total moment (Bohr magnetons per cell): 0.00
SG: Pmmm
E above lowest polymorph (meV/atom): 480.2
Energy of formation (eV per atom): 0.627
Fermi-level density of states (states/eV per cell): 5.59

extended XYZ file:
```
4
Lattice="3.323 0.000 0.000 0.000 4.448 0.000 0.000 0.000 5.011" Properties=species:S:1:pos:R:3 pbc="T T T"
Pt 1.661 0.000 2.506
Sr 0.000 2.224 2.506
Tc 0.000 0.000 0.000
Tc 1.661 2.224 0.000
```


Record 5
A relaxed SrTcPt2 crystal, computed with PBE-GGA.

## Properties
Total moment (Bohr magnetons per cell): 2.85
SG: F-43m
E above lowest polymorph (meV/atom): 482.2
Energy of formation (eV per atom): 0.348
Fermi-level density of states (states/eV per cell): 5.80

extended XYZ file:
```
4
Lattice="-1.821 1.178 4.236 -4.005 -2.068 1.526 0.149 -3.107 3.601" Properties=species:S:1:pos:R:3 pbc="T T T"
Pt 0.000 0.000 0.000
Pt -1.419 -0.999 2.341
Sr -2.838 -1.998 4.682
Tc -4.257 -2.998 7.023
```


Record 6
A relaxed SrTcPt crystal, computed with PBE-GGA.

## Properties
Total moment (Bohr magnetons per cell): 0.00
SG: Imm2
E above lowest polymorph (meV/atom): 0.0
Energy of formation (eV per atom): 0.144
Fermi-level density of states (states/eV per cell): 2.43

extended XYZ file:
```
3
Lattice="6.098 0.004 0.000 4.068 4.543 0.000 -4.764 -2.986 2.361" Properties=species:S:1:pos:R:3 pbc="T T T"
Pt 0.451 0.202 0.000
Sr 3.424 1.532 0.000
Tc 6.291 2.814 0.000
```


Record 7
A relaxed SrTc2Pt crystal, computed with PBE-GGA.

## Properties
Total moment (Bohr magnetons per cell): 0.00
SG: C2/m
E above lowest polymorph (meV/atom): 226.9
Energy of formation (eV per atom): 0.374
Fermi-level density of states (states/eV per cell): 4.52

extended XYZ file:
```
4
Lattice="5.824 0.002 0.015 5.133 2.752 0.015 1.493 0.375 4.845" Properties=species:S:1:pos:R:3 pbc="T T T"
Pt 3.112 0.782 1.219
Sr 9.337 2.347 3.656
Tc 10.709 2.692 0.387
Tc 6.472 1.627 2.080
```


Record 8
A relaxed SrTc2Pt crystal, computed with PBE-GGA.

## Properties
Total moment (Bohr magnetons per cell): 0.00
SG: I4/mmm
E above lowest polymorph (meV/atom): 556.1
Energy of formation (eV per atom): 0.703
Fermi-level density of states (states/eV per cell): 5.47

extended XYZ file:
```
4
Lattice="-5.423 -0.454 -0.227 -2.093 -4.999 -0.545 3.663 2.460 3.193" Properties=species:S:1:pos:R:3 pbc="T T T"
Pt -1.094 -2.633 1.131
Sr -2.759 -0.360 1.290
Tc 0.000 0.000 0.000
Tc -3.758 -2.727 -0.386
```